This record from the Alexandria database describes crystalline Cs2BeS2 at its relaxed geometry. The functional is PBE.

Unit cell a=7.1100 b=6.2775 c=15.8812 alpha=90.00 beta=90.00 gamma=90.00
Closest atoms and distances in Å follow each position.
Atoms (fractional coordinates):
Cs 0.0064 0.2500 0.1397  5 S 3.45-3.71, 2 Be 3.59
Cs 0.1842 0.2500 0.5618  6 S 3.40-3.76
Cs 0.3158 0.7500 0.0618  6 S 3.40-3.76
Cs 0.4936 0.7500 0.6397  5 S 3.45-3.71, 2 Be 3.59
Cs 0.5064 0.2500 0.3603  5 S 3.45-3.71, 2 Be 3.59
Cs 0.6842 0.2500 0.9382  6 S 3.40-3.76
Cs 0.8158 0.7500 0.4382  6 S 3.40-3.76
Cs 0.9936 0.7500 0.8603  5 S 3.45-3.71, 2 Be 3.59
Be 0.2174 0.2500 0.8167  3 S 1.98-2.09
Be 0.2826 0.7500 0.3167  3 S 1.98-2.09
Be 0.7174 0.2500 0.6833  3 S 1.98-2.09
Be 0.7826 0.7500 0.1833  3 S 1.98-2.09
S 0.0421 0.7500 0.2457  2 Be 2.05-2.09
S 0.2061 0.2500 0.9415  1 Be 1.98
S 0.2939 0.7500 0.4415  1 Be 1.98
S 0.4579 0.2500 0.7457  2 Be 2.05-2.09
S 0.5421 0.7500 0.2543  2 Be 2.05-2.09
S 0.7061 0.2500 0.5585  1 Be 1.98
S 0.7939 0.7500 0.0585  1 Be 1.98
S 0.9579 0.2500 0.7543  2 Be 2.05-2.09

Values from the calculation:
The value obtained for the relative energy among the computed polymorphs is 63 meV/atom. As for the crystal system: orthorhombic.


This record from the Alexandria database describes crystalline Cs5Be2S4 at its relaxed geometry. The functional is PBE.

Unit cell a=12.3505 b=12.3505 c=10.6041 alpha=106.76 beta=106.76 gamma=18.11
Closest atoms and distances in Å follow each position.
Atoms (fractional coordinates):
Cs 0.0000 0.0000 0.0000  4 S 3.53, 2 Be 3.81, 2 Cs 3.89
Cs 0.2945 0.2945 0.7022  3 S 3.36-3.39
Cs 0.4040 0.4040 0.3272  3 S 3.31-3.60
Cs 0.5960 0.5960 0.6728  3 S 3.31-3.60
Cs 0.7055 0.7055 0.2978  3 S 3.36-3.39
Be 0.0846 0.0846 0.3637  1 S 1.95
Be 0.9154 0.9154 0.6363  1 S 1.95
S 0.1580 0.1580 0.5020  1 Be 1.95
S 0.4540 0.4540 0.7109  2 Be 2.20
S 0.5460 0.5460 0.2891  2 Be 2.20
S 0.8420 0.8420 0.4980  1 Be 1.95

Values from the calculation:
As for the crystal system: monoclinic.


This record from the Alexandria database describes crystalline CsBe2S2 at its relaxed geometry. The functional is PBE.

Unit cell a=7.5506 b=7.5506 c=7.5506 alpha=151.11 beta=151.11 gamma=41.32
Closest atoms and distances in Å follow each position.
Atoms (fractional coordinates):
Cs 0.0000 0.0000 0.0000  8 S 3.61, 4 Cs 3.77, 8 Be 4.00
Be 0.2500 0.7500 0.5000  4 S 2.18
Be 0.7500 0.2500 0.5000  4 S 2.18
S 0.3276 0.3276 0.0000  4 Be 2.18
S 0.6724 0.6724 0.0000  4 Be 2.18

Values from the calculation:
As for the crystal system: tetragonal.


This record from the Alexandria database describes crystalline CsBeS3 at its relaxed geometry. The functional is PBE.

Unit cell a=4.6989 b=4.6989 c=4.6989 alpha=90.00 beta=90.00 gamma=90.00
Closest atoms and distances in Å follow each position.
Atoms (fractional coordinates):
Cs 0.0000 0.0000 0.0000  12 S 3.32
Be 0.5000 0.5000 0.5000  6 S 2.35
S 0.0000 0.5000 0.5000  2 Be 2.35
S 0.5000 0.0000 0.5000  2 Be 2.35
S 0.5000 0.5000 0.0000  2 Be 2.35

Values from the calculation:
The value obtained for the relative energy among the computed polymorphs is 0 meV/atom. As for the crystal system: cubic.


This record from the Alexandria database describes crystalline CsBeS3 at its relaxed geometry. The functional is PBE.

Unit cell a=5.6308 b=5.6308 c=5.6308 alpha=90.00 beta=90.00 gamma=90.00
Closest atoms and distances in Å follow each position.
Atoms (fractional coordinates):
Cs 0.0000 0.0000 0.0000  6 S 2.82
Be 0.5000 0.5000 0.5000  12 S 3.98
S 0.0000 0.0000 0.5000  2 Cs 2.82
S 0.0000 0.5000 0.0000  2 Cs 2.82
S 0.5000 0.0000 0.0000  2 Cs 2.82

Values from the calculation:
The value obtained for the relative energy among the computed polymorphs is 1800 meV/atom. As for the crystal system: cubic.


This record from the Alexandria database describes crystalline Cs3Be2S4 at its relaxed geometry. The functional is PBE.

Unit cell a=10.3805 b=10.3805 c=6.5836 alpha=108.33 beta=108.33 gamma=58.23
Closest atoms and distances in Å follow each position.
Atoms (fractional coordinates):
Cs 0.1208 0.8792 0.7500  6 S 3.38-3.60, 2 Be 3.70
Cs 0.1952 0.5020 0.0975  4 S 3.31-3.70, 1 Be 3.61
Cs 0.4980 0.8048 0.4025  4 S 3.31-3.70, 1 Be 3.61
Cs 0.5020 0.1952 0.5975  4 S 3.31-3.70, 1 Be 3.61
Cs 0.8048 0.4980 0.9025  4 S 3.31-3.70, 1 Be 3.61
Cs 0.8792 0.1208 0.2500  6 S 3.38-3.60, 2 Be 3.70
Be 0.0887 0.3479 0.4675  4 S 2.10-2.23
Be 0.3479 0.0887 0.9675  4 S 2.10-2.23
Be 0.6521 0.9113 0.0325  4 S 2.10-2.23
Be 0.9113 0.6521 0.5325  4 S 2.10-2.23
S 0.1538 0.5219 0.5868  2 Be 2.10-2.11
S 0.1745 0.1752 0.1742  2 Be 2.23
S 0.1752 0.1745 0.6742  2 Be 2.23
S 0.4781 0.8462 0.9132  2 Be 2.10-2.11
S 0.5219 0.1538 0.0868  2 Be 2.10-2.11
S 0.8248 0.8255 0.3258  2 Be 2.23
S 0.8255 0.8248 0.8258  2 Be 2.23
S 0.8462 0.4781 0.4132  2 Be 2.10-2.11

Values from the calculation:
As for the crystal system: monoclinic.


| no. | E_form (uncorrected) (eV/atom) |
| --- | --- |
| 1 | -1.03 |
| 2 | -0.86 |
| 3 | -0.60 |
| 4 | -0.02 |
| 5 | 1.78 |
| 6 | -0.96 |